(1)
This record from the Alexandria database describes crystalline CuTcH2 at its relaxed geometry. The functional is PBE.

Cell lengths 2.878, 2.878, 5.156 Å; angles 73.80, 73.80, 60.00 degrees
Positions (direct):
H (0.112, 0.112, 0.663)
H (0.888, 0.888, 0.337)
Cu (0.000, 0.000, 0.000)
Tc (0.500, 0.500, 0.500)

The calculation puts the energy above the most stable polymorph in this dataset at 0.0000 eV per atom. As for the crystal system: trigonal.


(2)
This record from the Alexandria database describes crystalline RbAlGe at its relaxed geometry. The functional is PBE.

Cell lengths 12.958, 4.350, 4.350 Å; angles 112.35, 109.57, 70.43 degrees
Positions (direct):
Rb (0.685, 0.128, 0.872)
Rb (0.315, 0.872, 0.128)
Ge (0.107, 0.361, 0.639)
Ge (0.893, 0.639, 0.361)
Al (0.056, 0.769, 0.231)
Al (0.944, 0.231, 0.769)

The formation energy is -0.0001 eV/atom. As for the crystal system: monoclinic.


(3)
This record from the Alexandria database describes crystalline YGe2O6 at its relaxed geometry. The functional is PBE.

Cell lengths 5.753, 7.334, 7.334 Å; angles 83.84, 77.27, 77.27 degrees
Site moments in Bohr magnetons follow the coordinates.
Positions (direct):
Ge (0.787, 0.216, 0.355)  -0.01
Ge (0.287, 0.355, 0.216)  -0.01
Ge (0.713, 0.645, 0.784)  -0.01
Ge (0.213, 0.784, 0.645)  -0.01
O (0.977, 0.383, 0.333)  0.03
O (0.876, 0.073, 0.164)  0.01
O (0.624, 0.836, 0.927)  0.01
O (0.195, 0.916, 0.429)  0.40
O (0.695, 0.429, 0.916)  0.40
O (0.376, 0.164, 0.073)  0.01
O (0.023, 0.617, 0.667)  0.03
O (0.124, 0.927, 0.836)  0.01
O (0.523, 0.667, 0.617)  0.03
O (0.477, 0.333, 0.383)  0.03
O (0.805, 0.084, 0.571)  0.40
O (0.305, 0.571, 0.084)  0.40
Y (0.750, 0.113, 0.887)  0.00
Y (0.250, 0.887, 0.113)  0.00

The total energy is -126.3 eV/cell. As for the crystal system: monoclinic.